1.
Below is a geometry-optimized Th6InSn structure, with properties calculated at the PBE level.

Lattice parameters (Å, degrees): 4.9450 4.9450 9.8804 90.00 90.00 90.00
Fractional positions:
Th 0.0000 0.0000 0.0000
Th 0.0000 0.0000 0.5000
Th 0.0000 0.5000 0.2485
Th 0.0000 0.5000 0.7515
Th 0.5000 0.0000 0.2485
Th 0.5000 0.0000 0.7515
In 0.5000 0.5000 0.5000
Sn 0.5000 0.5000 0.0000

Values from the calculation:
The calculated volume is 241.61 Å³ per cell. The total moment is 0.0 μB per cell. The value obtained for the formation energy from the elements is -22 kJ/mol of atoms.


2.
Below is a geometry-optimized Th2InSn2 structure, with properties calculated at the PBE level.

Lattice parameters (Å, degrees): 4.9602 4.9602 13.8653 90.00 90.00 120.00
Fractional positions:
Th 0.3333 0.6667 0.1090
Th 0.3333 0.6667 0.3910
Th 0.6667 0.3333 0.6090
Th 0.6667 0.3333 0.8910
In 0.0000 0.0000 0.2500
In 0.0000 0.0000 0.7500
Sn 0.0000 0.0000 0.0000
Sn 0.0000 0.0000 0.5000
Sn 0.3333 0.6667 0.7500
Sn 0.6667 0.3333 0.2500

Values from the calculation:
The calculated volume is 295.43 Å³ per cell. The total moment is 0.0 μB per cell. The value obtained for the formation energy from the elements is -35 kJ/mol of atoms.


3.
Below is a geometry-optimized ThInSn structure, with properties calculated at the PBE level.

Lattice parameters (Å, degrees): 10.3079 10.3079 10.3079 25.66 25.66 25.66
Fractional positions:
Th 0.0753 0.0753 0.0753
Th 0.9247 0.9247 0.9247
In 0.3462 0.3462 0.3462
In 0.6538 0.6538 0.6538
Sn 0.1906 0.1906 0.1906
Sn 0.8094 0.8094 0.8094

Values from the calculation:
The calculated volume is 180.88 Å³ per cell. The total moment is 0.0 μB per cell. The distance to the lowest polymorph of the same formula comes out at 175 meV per atom. The value obtained for the formation energy from the elements is -21 kJ/mol of atoms.


4.
Below is a geometry-optimized Th2In9Sn structure, with properties calculated at the PBE level.

Lattice parameters (Å, degrees): 4.7262 4.7262 14.4302 90.00 90.00 90.00
Fractional positions:
Th 0.0000 0.0000 0.1620
Th 0.0000 0.0000 0.8380
In 0.0000 0.5000 0.0000
In 0.0000 0.5000 0.3330
In 0.0000 0.5000 0.6670
In 0.5000 0.0000 0.0000
In 0.5000 0.0000 0.3330
In 0.5000 0.0000 0.6670
In 0.5000 0.5000 0.1645
In 0.5000 0.5000 0.5000
In 0.5000 0.5000 0.8355
Sn 0.0000 0.0000 0.5000

Values from the calculation:
The calculated volume is 322.33 Å³ per cell. The total moment is 0.0 μB per cell. The value obtained for the formation energy from the elements is -18 kJ/mol of atoms.


5.
Below is a geometry-optimized ThInSn2 structure, with properties calculated at the PBE level.

Lattice parameters (Å, degrees): 5.0899 5.0899 15.0220 90.00 90.00 120.00
Fractional positions:
Th 0.0000 0.0000 0.0000
Th 0.3333 0.6667 0.6667
Th 0.6667 0.3333 0.3333
In 0.0000 0.0000 0.5000
In 0.3333 0.6667 0.1667
In 0.6667 0.3333 0.8333
Sn 0.0000 0.0000 0.2310
Sn 0.0000 0.0000 0.7690
Sn 0.3333 0.6667 0.4357
Sn 0.3333 0.6667 0.8977
Sn 0.6667 0.3333 0.1023
Sn 0.6667 0.3333 0.5643

Values from the calculation:
The calculated volume is 337.03 Å³ per cell. The total moment is 0.0 μB per cell. The distance to the lowest polymorph of the same formula comes out at 285 meV per atom. The value obtained for the formation energy from the elements is -13 kJ/mol of atoms.


6.
Below is a geometry-optimized Th2InSn structure, with properties calculated at the PBE level.

Lattice parameters (Å, degrees): 4.9845 4.9845 4.6021 90.00 90.00 90.00
Fractional positions:
Th 0.0000 0.5000 0.0000
Th 0.5000 0.0000 0.0000
In 0.0000 0.0000 0.5000
Sn 0.5000 0.5000 0.5000

Values from the calculation:
The calculated volume is 114.34 Å³ per cell. The total moment is 0.0 μB per cell. The distance to the lowest polymorph of the same formula comes out at 13 meV per atom. The value obtained for the formation energy from the elements is -39 kJ/mol of atoms.


7.
Below is a geometry-optimized Th2In3Sn3 structure, with properties calculated at the PBE level.

Lattice parameters (Å, degrees): 4.6291 4.7343 9.7716 90.00 90.00 90.00
Fractional positions:
Th 0.0000 0.0000 0.2450
Th 0.0000 0.0000 0.7550
In 0.0000 0.5000 0.0000
In 0.0000 0.5000 0.5000
In 0.5000 0.0000 0.5000
Sn 0.5000 0.0000 0.0000
Sn 0.5000 0.5000 0.2529
Sn 0.5000 0.5000 0.7471

Values from the calculation:
The calculated volume is 214.15 Å³ per cell. The total moment is 0.0 μB per cell. The value obtained for the formation energy from the elements is -39 kJ/mol of atoms.


8.
Below is a geometry-optimized ThInSn2 structure, with properties calculated at the PBE level.

Lattice parameters (Å, degrees): 4.8431 4.8431 4.5751 90.00 90.00 90.00
Fractional positions:
Th 0.0000 0.0000 0.0000
In 0.5000 0.5000 0.0000
Sn 0.0000 0.5000 0.5000
Sn 0.5000 0.0000 0.5000

Values from the calculation:
The calculated volume is 107.31 Å³ per cell. The total moment is 0.0 μB per cell. The distance to the lowest polymorph of the same formula comes out at 0 meV per atom. The value obtained for the formation energy from the elements is -41 kJ/mol of atoms.